VASP calculation (PBE-GGA) on a geometry-optimized P5Ru structure.

Properties
E_tot ... -5.933 eV/atom
DFT formation energy ... 0.121 eV/atom
Space-group type ... No. 8
Polymorph energy (0 for the lowest one) ... 0 meV/atom

```
P5Ru
1.0
5.830 -1.528 0.000
5.830 1.528 0.000
-2.375 0.000 6.885
P Ru
5 1
direct
0.000 0.000 0.000
0.044 0.044 0.731
0.247 0.247 0.850
0.312 0.312 0.312
0.696 0.696 0.378
0.666 0.666 0.034
```